# 1
K2ScMn2Se4 | PBE | optimized geometry

- raw formation energy (eV per atom) = -1.033
- raw total energy (eV/atom) = -5.567
- crystal system = monoclinic

CIF file:
```
data_K2ScMn2Se4
_chemical_formula_sum 'K2 Sc1 Mn2 Se4'
_space_group_name_H-M_alt 'P 1'
_space_group_IT_number 1
_cell_length_a 4.096
_cell_length_b 7.875
_cell_length_c 7.804
_cell_angle_alpha 108.55
_cell_angle_beta 105.22
_cell_angle_gamma 90.00
loop_
_space_group_symop_operation_xyz
'x,y,z'
loop_
_atom_site_label
_atom_site_type_symbol
_atom_site_fract_x
_atom_site_fract_y
_atom_site_fract_z
_atom_site_occupancy
K1 K 0.869 0.444 0.739 1
K2 K 0.131 0.556 0.261 1
Se1 Se 0.803 0.820 0.607 1
Mn1 Mn 0.324 0.020 0.647 1
Se2 Se 0.487 0.231 0.973 1
Se3 Se 0.197 0.180 0.393 1
Se4 Se 0.513 0.769 0.027 1
Sc1 Sc 0.000 0.000 0.000 1
Mn2 Mn 0.676 0.980 0.353 1
```

=====

# 2
MgAgRh4 | PBE | optimized geometry

- calculated formation energy (eV per atom) = 0.06
- raw total energy (eV/atom) = -5.577
- crystal system = cubic

CIF file:
```
data_MgAgRh4
_chemical_formula_sum 'Mg1 Ag1 Rh4'
_space_group_name_H-M_alt 'P 1'
_space_group_IT_number 1
_cell_length_a 5.174
_cell_length_b 5.174
_cell_length_c 5.174
_cell_angle_alpha 60.00
_cell_angle_beta 60.00
_cell_angle_gamma 60.00
loop_
_space_group_symop_operation_xyz
'x,y,z'
loop_
_atom_site_label
_atom_site_type_symbol
_atom_site_fract_x
_atom_site_fract_y
_atom_site_fract_z
_atom_site_occupancy
Ag1 Ag 0.750 0.750 0.750 1
Rh1 Rh 0.375 0.375 0.875 1
Rh2 Rh 0.375 0.875 0.375 1
Rh3 Rh 0.375 0.375 0.375 1
Mg1 Mg 0.000 0.000 0.000 1
Rh4 Rh 0.875 0.375 0.375 1
```

=====

# 3
Fe2CuMo | PBE | optimized geometry

- calculated formation energy (eV per atom) = 0.22
- raw total energy (eV/atom) = -7.744
- distance to the lowest polymorph of the same formula (meV/atom) = 69
- crystal system = cubic

CIF file:
```
data_Fe2CuMo
_chemical_formula_sum 'Fe2 Cu1 Mo1'
_space_group_name_H-M_alt 'P 1'
_space_group_IT_number 1
_cell_length_a 4.096
_cell_length_b 4.096
_cell_length_c 4.096
_cell_angle_alpha 60.00
_cell_angle_beta 60.00
_cell_angle_gamma 60.00
loop_
_space_group_symop_operation_xyz
'x,y,z'
loop_
_atom_site_label
_atom_site_type_symbol
_atom_site_fract_x
_atom_site_fract_y
_atom_site_fract_z
_atom_site_occupancy
Cu1 Cu 0.000 0.000 0.000 1
Fe1 Fe 0.750 0.750 0.750 1
Fe2 Fe 0.250 0.250 0.250 1
Mo1 Mo 0.500 0.500 0.500 1
```